1.
A plane-wave DFT calculation with GGA-PBE was carried out for a relaxed Li3Pr2NpSe6 crystal.

Total DFT energy (no corrections) in eV/cell: -134.00
Total moment in μB/f.u.: 4.003

CIF file:
```
data_Li3Pr2NpSe6
_chemical_formula_sum 'Li6 Pr4 Np2 Se12'
_space_group_name_H-M_alt 'C 1 2/m 1'
_space_group_IT_number 12
_cell_length_a 7.285
_cell_length_b 12.620
_cell_length_c 6.950
_cell_angle_alpha 90.00
_cell_angle_beta 110.42
_cell_angle_gamma 90.00
loop_
_space_group_symop_operation_xyz
'x,y,z'
'-x,-y,-z'
'-x,y,-z'
'x,-y,z'
'x+1/2,y+1/2,z'
'-x+1/2,-y+1/2,-z'
'-x+1/2,y+1/2,-z'
'x+1/2,-y+1/2,z'
loop_
_atom_site_label
_atom_site_type_symbol
_atom_site_fract_x
_atom_site_fract_y
_atom_site_fract_z
Li1 Li 0.000 0.000 0.000
Li2 Li 0.000 0.336 0.000
Pr1 Pr 0.000 0.167 0.500
Np1 Np 0.000 0.500 0.500
Se1 Se 0.241 0.500 0.242
Se2 Se 0.250 0.163 0.240
```

=====

2.
A plane-wave DFT calculation with GGA-PBE was carried out for a relaxed BiPSeN2 crystal.

Total DFT energy (no corrections) in eV/cell: -22.17
Total moment in μB/f.u.: 0.458

CIF file:
```
data_BiPSeN2
_chemical_formula_sum 'Bi1 P1 Se1 N2'
_space_group_name_H-M_alt 'P 4/m m m'
_space_group_IT_number 123
_space_group_name_Hall '-P 4 2'
_cell_length_a 3.997
_cell_length_b 3.997
_cell_length_c 4.876
_cell_angle_alpha 90.00
_cell_angle_beta 90.00
_cell_angle_gamma 90.00
loop_
_atom_site_label
_atom_site_type_symbol
_atom_site_fract_x
_atom_site_fract_y
_atom_site_fract_z
Bi1 Bi 0.000 0.000 0.000
P1 P 0.500 0.500 0.000
Se1 Se 0.500 0.500 0.500
N1 N 0.000 0.500 0.500
```

=====

3.
A plane-wave DFT calculation with GGA-PBE was carried out for a relaxed ZnHgTe2 crystal.

Total DFT energy (no corrections) in eV/cell: -7.17
Total moment in μB/f.u.: 0.000

CIF file:
```
data_ZnHgTe2
_chemical_formula_sum 'Zn1 Hg1 Te2'
_space_group_name_H-M_alt 'P 1 2/m 1'
_space_group_IT_number 10
_cell_length_a 3.047
_cell_length_b 6.639
_cell_length_c 5.980
_cell_angle_alpha 90.00
_cell_angle_beta 91.49
_cell_angle_gamma 90.00
loop_
_space_group_symop_operation_xyz
'x,y,z'
'-x,-y,-z'
'-x,y,-z'
'x,-y,z'
loop_
_atom_site_label
_atom_site_type_symbol
_atom_site_fract_x
_atom_site_fract_y
_atom_site_fract_z
Zn1 Zn 0.000 0.000 0.000
Hg1 Hg 0.000 0.000 0.500
Te1 Te 0.498 0.500 0.752
```

=====

4.
A plane-wave DFT calculation with GGA-PBE was carried out for a relaxed Sm3Mg7Ni4 crystal.

ΔH_f (0 K) in eV/atom: -0.1848
Total DFT energy (no corrections) in eV/cell: -102.06
Total moment in μB/f.u.: 0.000

CIF file:
```
data_Sm3Mg7Ni4
_chemical_formula_sum 'Sm6 Mg14 Ni8'
_space_group_name_H-M_alt 'C 1 2/m 1'
_space_group_IT_number 12
_cell_length_a 16.232
_cell_length_b 4.000
_cell_length_c 10.567
_cell_angle_alpha 90.00
_cell_angle_beta 122.74
_cell_angle_gamma 90.00
loop_
_space_group_symop_operation_xyz
'x,y,z'
'-x,-y,-z'
'-x,y,-z'
'x,-y,z'
'x+1/2,y+1/2,z'
'-x+1/2,-y+1/2,-z'
'-x+1/2,y+1/2,-z'
'x+1/2,-y+1/2,z'
loop_
_atom_site_label
_atom_site_type_symbol
_atom_site_fract_x
_atom_site_fract_y
_atom_site_fract_z
Sm1 Sm 0.000 0.000 0.000
Sm2 Sm 0.198 0.500 0.714
Mg1 Mg 0.000 0.000 0.500
Mg2 Mg 0.011 0.500 0.287
Mg3 Mg 0.169 0.000 0.431
Mg4 Mg 0.178 0.500 0.009
Ni1 Ni 0.116 0.000 0.811
Ni2 Ni 0.159 0.500 0.249
```

=====

5.
A plane-wave DFT calculation with GGA-PBE was carried out for a relaxed Ta2PbSe crystal.

Total DFT energy (no corrections) in eV/cell: -61.85
Total moment in μB/f.u.: 0.000

CIF file:
```
data_Ta2PbSe
_chemical_formula_sum 'Ta4 Pb2 Se2'
_space_group_name_H-M_alt 'C m m 2'
_space_group_IT_number 35
_cell_length_a 3.617
_cell_length_b 4.969
_cell_length_c 10.244
_cell_angle_alpha 90.00
_cell_angle_beta 90.00
_cell_angle_gamma 90.00
loop_
_space_group_symop_operation_xyz
'x,y,z'
'-x,-y,z'
'-x,y,z'
'x,-y,z'
'x+1/2,y+1/2,z'
'-x+1/2,-y+1/2,z'
'-x+1/2,y+1/2,z'
'x+1/2,-y+1/2,z'
loop_
_atom_site_label
_atom_site_type_symbol
_atom_site_fract_x
_atom_site_fract_y
_atom_site_fract_z
Ta1 Ta 0.000 0.000 0.000
Ta2 Ta 0.000 0.500 0.206
Pb1 Pb 0.000 0.500 0.754
Se1 Se 0.000 0.000 0.391
```

=====

6.
A plane-wave DFT calculation with GGA-PBE was carried out for a relaxed Zn6CuO6 crystal.

Total DFT energy (no corrections) in eV/cell: -55.38
Total moment in μB/f.u.: 0.000

CIF file:
```
data_Zn6CuO6
_chemical_formula_sum 'Zn6 Cu1 O6'
_space_group_name_H-M_alt 'P m -3'
_space_group_IT_number 200
_space_group_name_Hall '-P 2 2 3'
_cell_length_a 5.688
_cell_length_b 5.688
_cell_length_c 5.688
_cell_angle_alpha 90.00
_cell_angle_beta 90.00
_cell_angle_gamma 90.00
loop_
_atom_site_label
_atom_site_type_symbol
_atom_site_fract_x
_atom_site_fract_y
_atom_site_fract_z
Zn1 Zn 0.000 0.248 0.500
Cu1 Cu 0.000 0.000 0.000
O1 O 0.000 0.500 0.252
```

=====

7.
A plane-wave DFT calculation with GGA-PBE was carried out for a relaxed Ag2PdCl2F2 crystal.

Total DFT energy (no corrections) in eV/cell: -46.36
Total moment in μB/f.u.: 1.400

CIF file:
```
data_Ag2PdCl2F2
_chemical_formula_sum 'Ag4 Pd2 Cl4 F4'
_space_group_name_H-M_alt 'C 1 2/m 1'
_space_group_IT_number 12
_cell_length_a 11.807
_cell_length_b 3.650
_cell_length_c 6.812
_cell_angle_alpha 90.00
_cell_angle_beta 120.31
_cell_angle_gamma 90.00
loop_
_space_group_symop_operation_xyz
'x,y,z'
'-x,-y,-z'
'-x,y,-z'
'x,-y,z'
'x+1/2,y+1/2,z'
'-x+1/2,-y+1/2,-z'
'-x+1/2,y+1/2,-z'
'x+1/2,-y+1/2,z'
loop_
_atom_site_label
_atom_site_type_symbol
_atom_site_fract_x
_atom_site_fract_y
_atom_site_fract_z
Ag1 Ag 0.155 0.000 0.128
Pd1 Pd 0.000 0.000 0.500
Cl1 Cl 0.068 0.500 0.311
F1 F 0.189 0.000 0.799
```

=====

8.
A plane-wave DFT calculation with GGA-PBE was carried out for a relaxed LiAgPd4 crystal.

ΔH_f (0 K) in eV/atom: -0.0836
Total DFT energy (no corrections) in eV/cell: -52.08
Total moment in μB/f.u.: 0.000

CIF file:
```
data_LiAgPd4
_chemical_formula_sum 'Li2 Ag2 Pd8'
_space_group_name_H-M_alt 'P 1 21/m 1'
_space_group_IT_number 11
_cell_length_a 5.299
_cell_length_b 5.358
_cell_length_c 6.693
_cell_angle_alpha 90.00
_cell_angle_beta 98.16
_cell_angle_gamma 90.00
loop_
_space_group_symop_operation_xyz
'x,y,z'
'-x,-y,-z'
'-x,y+1/2,-z'
'x,-y+1/2,z'
loop_
_atom_site_label
_atom_site_type_symbol
_atom_site_fract_x
_atom_site_fract_y
_atom_site_fract_z
Li1 Li 0.231 0.250 0.153
Ag1 Ag 0.034 0.250 0.480
Pd1 Pd 0.149 0.750 0.128
Pd2 Pd 0.328 0.002 0.819
Pd3 Pd 0.461 0.750 0.485
```

=====

9.
A plane-wave DFT calculation with GGA-PBE was carried out for a relaxed TiFeI2N crystal.

Total DFT energy (no corrections) in eV/cell: -25.25
Total moment in μB/f.u.: 0.593

CIF file:
```
data_TiFeI2N
_chemical_formula_sum 'Ti1 Fe1 I2 N1'
_space_group_name_H-M_alt 'P 4/m m m'
_space_group_IT_number 123
_space_group_name_Hall '-P 4 2'
_cell_length_a 5.368
_cell_length_b 5.368
_cell_length_c 3.484
_cell_angle_alpha 90.00
_cell_angle_beta 90.00
_cell_angle_gamma 90.00
loop_
_atom_site_label
_atom_site_type_symbol
_atom_site_fract_x
_atom_site_fract_y
_atom_site_fract_z
Ti1 Ti 0.000 0.000 0.000
Fe1 Fe 0.500 0.500 0.500
I1 I 0.000 0.500 0.500
N1 N 0.500 0.500 0.000
```

=====

10.
A plane-wave DFT calculation with GGA-PBE was carried out for a relaxed CsAl12Ag7 crystal.

ΔH_f (0 K) in eV/atom: 0.1219
Total DFT energy (no corrections) in eV/cell: -189.86
Total moment in μB/f.u.: 0.000

CIF file:
```
data_CsAl12Ag7
_chemical_formula_sum 'Cs3 Al36 Ag21'
_space_group_name_H-M_alt 'R -3 m'
_space_group_IT_number 166
_space_group_name_Hall '-R 3 2"'
_cell_length_a 13.1968
_cell_length_b 13.1968
_cell_length_c 7.9054
_cell_angle_alpha 90.00
_cell_angle_beta 90.00
_cell_angle_gamma 120.00
loop_
_atom_site_label
_atom_site_type_symbol
_atom_site_fract_x
_atom_site_fract_y
_atom_site_fract_z
Cs1 Cs 0.0000 0.0000 0.0000
Al1 Al 0.0000 0.2887 0.0000
Al2 Al 0.1060 0.5530 0.0625
Ag1 Ag 0.0000 0.0000 0.5000
Ag2 Ag 0.1082 0.5541 0.4050
```

=====

11.
A plane-wave DFT calculation with GGA-PBE was carried out for a relaxed LaTc3 crystal.

ΔH_f (0 K) in eV/atom: 0.4776
Total DFT energy (no corrections) in eV/cell: -34.11
Total moment in μB/f.u.: 0.000

CIF file:
```
data_LaTc3
_chemical_formula_sum 'La1 Tc3'
_space_group_name_H-M_alt 'P -6 m 2'
_space_group_IT_number 187
_space_group_name_Hall 'P -6 2'
_cell_length_a 2.9371
_cell_length_b 2.9371
_cell_length_c 9.4275
_cell_angle_alpha 90.00
_cell_angle_beta 90.00
_cell_angle_gamma 120.00
loop_
_atom_site_label
_atom_site_type_symbol
_atom_site_fract_x
_atom_site_fract_y
_atom_site_fract_z
La1 La 0.0000 0.0000 0.0000
Tc1 Tc 0.0000 0.0000 0.5000
Tc2 Tc 0.3333 0.6667 0.2862
```

=====

12.
A plane-wave DFT calculation with GGA-PBE was carried out for a relaxed Pm2Ga6Pd crystal.

ΔH_f (0 K) in eV/atom: -0.6542
Total DFT energy (no corrections) in eV/cell: -154.97
Total moment in μB/f.u.: 0.000

CIF file:
```
data_Pm2Ga6Pd
_chemical_formula_sum 'Pm8 Ga24 Pd4'
_space_group_name_H-M_alt 'F m -3 m'
_space_group_IT_number 225
_space_group_name_Hall '-F 4 2 3'
_cell_length_a 8.923
_cell_length_b 8.923
_cell_length_c 8.923
_cell_angle_alpha 90.00
_cell_angle_beta 90.00
_cell_angle_gamma 90.00
loop_
_atom_site_label
_atom_site_type_symbol
_atom_site_fract_x
_atom_site_fract_y
_atom_site_fract_z
Pm1 Pm 0.250 0.250 0.250
Ga1 Ga 0.000 0.000 0.216
Pd1 Pd 0.000 0.000 0.500
```

=====

Question: The highest total DFT energy (no corrections) belongs to which entry?
Answer: ZnHgTe2

=====

Question: What is the formula in the seventh record?
Answer: Ag2PdCl2F2

=====

Question: Which of these has the highest total DFT energy (no corrections)?
Answer: ZnHgTe2

=====

Question: Which of these has the highest total moment?
Answer: Li3Pr2NpSe6